# 1
Tb4Sb2AsPb after structural relaxation, computed with PBE.

Output
- VASP energy (eV per atom) = -5.41
- total magnetic moment (μB per atom) = 0.00
- uncorrected formation energy (eV/atom) = -1.02

a = 4.3027 Å, b = 7.4205 Å, c = 7.7137 Å
α = 71.08°, β = 90.00°, γ = 90.00°
Fractional positions:
Tb 0.0000 0.7472 0.7368
Tb 0.0000 0.2528 0.2632
Tb 0.5000 0.7384 0.2657
Tb 0.5000 0.2616 0.7343
Sb 0.0000 0.0000 0.0000
Sb 0.5000 0.0000 0.5000
As 0.0000 0.5000 0.5000
Pb 0.5000 0.5000 0.0000

---

# 2
Tb6Sb3As2Pb after structural relaxation, computed with PBE.

Output
- VASP energy (eV per atom) = -5.55
- total magnetic moment (μB per atom) = 0.00
- uncorrected formation energy (eV/atom) = -1.12

a = 4.2967 Å, b = 8.7106 Å, c = 9.6115 Å
α = 101.82°, β = 102.92°, γ = 90.00°
Fractional positions:
Tb 0.3284 0.8978 0.6568
Tb 0.6711 0.5758 0.3423
Tb 0.6716 0.1022 0.3432
Tb 0.0081 0.2607 0.0162
Tb 0.9919 0.7393 0.9838
Tb 0.3289 0.4242 0.6577
Sb 0.5000 0.5000 0.0000
Sb 0.8374 0.1653 0.6749
Sb 0.1626 0.8347 0.3251
As 0.8309 0.6618 0.6619
As 0.1691 0.3382 0.3381
Pb 0.5000 0.0000 0.0000